(1)
# PBE Pr4Zn3Co2, relaxed
# * total magnetization: 0.28 μB/cell
# * ΔH_f (0 K): -179 kJ/mol of formula units
data_Pr4Zn3Co2
_symmetry_space_group_name_H-M 'P 1'
_symmetry_Int_Tables_number 1
_cell_length_a 7.140
_cell_length_b 3.822
_cell_length_c 7.836
_cell_angle_alpha 90.00
_cell_angle_beta 106.62
_cell_angle_gamma 90.00
loop_
_symmetry_equiv_pos_as_xyz
'x,y,z'
loop_
_atom_site_label
_atom_site_fract_x
_atom_site_fract_y
_atom_site_fract_z
_atom_site_occupancy
Pr1 0.081 0.000 0.219 1
Pr2 0.391 0.000 0.705 1
Pr3 0.609 0.000 0.295 1
Pr4 0.919 0.000 0.781 1
Zn1 0.000 0.500 0.500 1
Zn2 0.306 0.500 0.022 1
Zn3 0.694 0.500 0.978 1
Co1 0.349 0.500 0.394 1
Co2 0.651 0.500 0.606 1

---

(2)
# PBE PrZnCo, relaxed
# * total magnetization: 0.67 μB/cell
# * ΔH_f (0 K): 93 kJ/mol of formula units
data_PrZnCo
_symmetry_space_group_name_H-M 'P 1'
_symmetry_Int_Tables_number 1
_cell_length_a 4.507
_cell_length_b 4.507
_cell_length_c 4.507
_cell_angle_alpha 60.00
_cell_angle_beta 60.00
_cell_angle_gamma 60.00
loop_
_symmetry_equiv_pos_as_xyz
'x,y,z'
loop_
_atom_site_label
_atom_site_fract_x
_atom_site_fract_y
_atom_site_fract_z
_atom_site_occupancy
Pr1 0.000 0.000 0.000 1
Zn1 0.750 0.750 0.750 1
Co1 0.500 0.500 0.500 1